No. 1
Tb7SnRu2 | PBE | relaxed

energy of formation = -0.16 eV/atom
D(E_F) = 0.69 states/eV/atom
SG = Cmmm, No. 65

abc: 5.182 8.133 8.133
angles: 113.05 90.00 90.00
Fractional positions:
1 Ru 0.500 0.301 0.699
2 Ru 0.500 0.699 0.301
3 Tb 0.000 0.274 0.726
4 Tb 0.500 0.316 0.055
5 Tb 0.500 0.945 0.684
6 Tb 0.500 0.055 0.316
7 Tb 0.500 0.500 0.500
8 Tb 0.500 0.684 0.945
9 Tb 0.000 0.726 0.274
10 Sn 0.000 0.000 0.000

No. 2
Ho4TlSb3 | PBE | relaxed

D(E_F) = 0.34 states/eV/atom
uncorrected formation energy = -0.822 eV/atom
SG = Pm-3m, No. 221

abc: 6.185 6.185 6.185
angles: 90.00 90.00 90.00
Fractional positions:
1 Ho 0.500 0.000 0.000
2 Ho 0.000 0.500 0.000
3 Ho 0.500 0.500 0.500
4 Ho 0.000 0.000 0.500
5 Sb 0.500 0.000 0.500
6 Sb 0.000 0.500 0.500
7 Sb 0.500 0.500 0.000
8 Tl 0.000 0.000 0.000

No. 3
BaCdS2 | PBE | relaxed

D(E_F) = 0.00 states/eV/atom
uncorrected formation energy = -1.347 eV/atom
SG = Pnma, No. 62

abc: 4.226 7.463 14.264
angles: 90.00 90.00 90.00
Fractional positions:
1 Cd 0.250 0.673 0.381
2 Cd 0.750 0.327 0.619
3 Cd 0.750 0.827 0.881
4 Cd 0.250 0.173 0.119
5 Ba 0.250 0.845 0.640
6 Ba 0.750 0.155 0.360
7 Ba 0.750 0.655 0.140
8 Ba 0.250 0.345 0.860
9 S 0.250 0.236 0.530
10 S 0.750 0.077 0.762
11 S 0.750 0.764 0.470
12 S 0.750 0.577 0.738
13 S 0.250 0.736 0.970
14 S 0.750 0.264 0.030
15 S 0.250 0.923 0.238
16 S 0.250 0.423 0.262

No. 4
Sc3Ge2Rh | PBE | relaxed

energy of formation = -0.86 eV/atom
D(E_F) = 0.43 states/eV/atom
SG = Pnma, No. 62

abc: 4.158 10.122 11.036
angles: 90.00 90.00 90.00
Fractional positions:
1 Sc 0.750 0.631 0.950
2 Sc 0.750 0.302 0.768
3 Sc 0.250 0.066 0.864
4 Sc 0.250 0.802 0.732
5 Sc 0.250 0.369 0.050
6 Sc 0.750 0.934 0.136
7 Sc 0.250 0.698 0.232
8 Sc 0.750 0.198 0.268
9 Sc 0.750 0.869 0.450
10 Sc 0.250 0.131 0.550
11 Sc 0.750 0.566 0.636
12 Sc 0.250 0.434 0.364
13 Rh 0.250 0.382 0.624
14 Rh 0.750 0.882 0.876
15 Rh 0.750 0.618 0.376
16 Rh 0.250 0.118 0.124
17 Ge 0.750 0.489 0.179
18 Ge 0.250 0.989 0.321
19 Ge 0.750 0.182 0.998
20 Ge 0.250 0.818 0.002
21 Ge 0.750 0.318 0.498
22 Ge 0.750 0.011 0.679
23 Ge 0.250 0.511 0.821
24 Ge 0.250 0.682 0.502

No. 5
AlCdIr2 | PBE | relaxed

energy of formation = 0.11 eV/atom
D(E_F) = 1.37 states/eV/atom
SG = F-43m, No. 216

abc: 4.483 4.483 4.483
angles: 60.00 60.00 60.00
Fractional positions:
1 Ir 0.750 0.750 0.750
2 Ir 0.000 0.000 0.000
3 Cd 0.250 0.250 0.250
4 Al 0.500 0.500 0.500

No. 6
CoNi3Rh4 | PBE | relaxed

energy of formation = 0.27 eV/atom
D(E_F) = 1.80 states/eV/atom
distance to the lowest polymorph of the same formula = 0.00 kJ per mole of atoms
SG = C2/m, No. 12

abc: 2.583 4.942 11.122
angles: 49.47 96.67 90.00
Fractional positions:
1 Ni 0.000 0.500 0.000
2 Ni 0.122 0.380 0.244
3 Ni 0.878 0.620 0.756
4 Rh 0.260 0.728 0.519
5 Rh 0.879 0.121 0.759
6 Rh 0.121 0.879 0.241
7 Rh 0.740 0.272 0.481
8 Co 0.500 0.000 0.000

No. 7
KLiMg2Ga | PBE | relaxed

energy of formation = 0.05 eV/atom
D(E_F) = 0.34 states/eV/atom
distance to the lowest polymorph of the same formula = 0.00 kJ per mole of atoms
SG = P4/mmm, No. 123

abc: 5.235 5.235 5.379
angles: 90.00 90.00 90.00
Fractional positions:
1 K 0.500 0.500 0.500
2 Ga 0.000 0.000 0.000
3 Mg 0.500 0.000 0.000
4 Mg 0.000 0.500 0.000
5 Li 0.000 0.000 0.500

No. 8
CaTlZn2Ru | PBE | relaxed

energy of formation = 0.22 eV/atom
D(E_F) = 0.53 states/eV/atom
SG = P4/mmm, No. 123

abc: 4.925 5.196 4.925
angles: 90.00 90.00 90.00
Fractional positions:
1 Ru 0.000 0.000 0.000
2 Tl 0.500 0.500 0.500
3 Ca 0.000 0.500 0.000
4 Zn 0.500 0.000 0.000
5 Zn 0.000 0.000 0.500

No. 9
NaLi2HPd | PBE | relaxed

D(E_F) = 0.16 states/eV/atom
distance to the lowest polymorph of the same formula = 0.00 kJ per mole of atoms
SG = P4/mmm, No. 123

abc: 4.498 4.498 3.587
angles: 90.00 90.00 90.00
Fractional positions:
1 Li 0.500 0.000 0.000
2 Li 0.000 0.500 0.000
3 Pd 0.000 0.000 0.500
4 Na 0.500 0.500 0.500
5 H 0.000 0.000 0.000

No. 10
ZnNiAs | PBE | relaxed

energy of formation = 0.00 eV/atom
D(E_F) = 0.50 states/eV/atom
SG = I4mm, No. 107

abc: 4.449 4.449 4.449
angles: 135.37 135.36 64.96
Fractional positions:
1 Ni 0.334 0.334 0.000
2 As 0.999 0.999 0.000
3 Zn 0.668 0.668 0.000

No. 11
Ca2TlCo | PBE | relaxed

energy of formation = 0.04 eV/atom
D(E_F) = 1.08 states/eV/atom
SG = Amm2, No. 38

abc: 4.434 4.243 6.075
angles: 69.51 90.00 90.00
Fractional positions:
1 Ca 0.000 0.976 0.922
2 Ca 0.500 0.272 0.332
3 Tl 0.500 0.563 0.749
4 Co 0.000 0.689 0.498

No. 12
MgBrN2O | PBE | relaxed

D(E_F) = 0.61 states/eV/atom
uncorrected formation energy = 1.353 eV/atom
SG = P4/mmm, No. 123

abc: 3.799 3.799 4.089
angles: 90.00 90.00 90.00
Fractional positions:
1 O 0.000 0.000 0.500
2 N 0.500 0.000 0.000
3 N 0.000 0.500 0.000
4 Mg 0.500 0.500 0.500
5 Br 0.000 0.000 0.000